Density functional theory data (PBE) for crystalline CsPa2B2N6 at its relaxed geometry.

The structure in CIF format:
```
data_CsPa2B2N6
_symmetry_space_group_name_H-M 'C 1 2/m 1'
_symmetry_Int_Tables_number 12
_cell_length_a 10.7542
_cell_length_b 6.0677
_cell_length_c 6.0349
_cell_angle_alpha 90.00
_cell_angle_beta 117.79
_cell_angle_gamma 90.00
loop_
_symmetry_equiv_pos_as_xyz
'x,y,z'
'-x,-y,-z'
'-x,y,-z'
'x,-y,z'
'x+1/2,y+1/2,z'
'-x+1/2,-y+1/2,-z'
'-x+1/2,y+1/2,-z'
'x+1/2,-y+1/2,z'
loop_
_atom_site_label
_atom_site_fract_x
_atom_site_fract_y
_atom_site_fract_z
Cs1 0.0000 0.0000 0.0000
Pa1 0.1747 0.5000 0.3017
B1 0.1507 0.5000 0.7346
N1 0.0674 0.5000 0.8661
N2 0.1955 0.2974 0.6576
```

Results
N(E_F) (states/eV per cell): 16.80
Formation energy (no corrections) (meV per atom): -944
Calculated density (g/cm3): 6.7

---

Density functional theory data (PBE) for crystalline YMgCuAg at its relaxed geometry.

The structure in CIF format:
```
data_YMgCuAg
_symmetry_space_group_name_H-M 'F -4 3 m'
_symmetry_Int_Tables_number 216
_symmetry_space_group_name_Hall 'F -4 2 3'
_cell_length_a 6.8597
_cell_length_b 6.8597
_cell_length_c 6.8597
_cell_angle_alpha 90.00
_cell_angle_beta 90.00
_cell_angle_gamma 90.00
loop_
_atom_site_label
_atom_site_fract_x
_atom_site_fract_y
_atom_site_fract_z
Y1 0.0000 0.0000 0.0000
Mg1 0.0000 0.0000 0.5000
Cu1 0.2500 0.2500 0.7500
Ag1 0.2500 0.2500 0.2500
```

Results
N(E_F) (states/eV per cell): 18.06
Energy (eV/atom): -3.98
Calculated density (g/cm3): 5.9

---

Density functional theory data (PBE) for crystalline Rb3HoPu3Se8 at its relaxed geometry.

The structure in CIF format:
```
data_Rb3HoPu3Se8
_symmetry_space_group_name_H-M 'R -3 m'
_symmetry_Int_Tables_number 166
_symmetry_space_group_name_Hall '-R 3 2"'
_cell_length_a 8.4604
_cell_length_b 8.4604
_cell_length_c 24.2500
_cell_angle_alpha 90.00
_cell_angle_beta 90.00
_cell_angle_gamma 120.00
loop_
_atom_site_label
_atom_site_fract_x
_atom_site_fract_y
_atom_site_fract_z
Rb1 0.0000 0.5000 0.0000
Ho1 0.0000 0.0000 0.5000
Pu1 0.0000 0.5000 0.5000
Se1 0.0000 0.0000 0.2309
Se2 0.0006 0.5003 0.2300
```

Results
N(E_F) (states/eV per cell): 90.92
Formation energy (no corrections) (meV per atom): -1500
Calculated density (g/cm3): 5.9

---

Density functional theory data (PBE) for crystalline CaDyTlBi at its relaxed geometry.

The structure in CIF format:
```
data_CaDyTlBi
_symmetry_space_group_name_H-M 'F -4 3 m'
_symmetry_Int_Tables_number 216
_symmetry_space_group_name_Hall 'F -4 2 3'
_cell_length_a 7.7829
_cell_length_b 7.7829
_cell_length_c 7.7829
_cell_angle_alpha 90.00
_cell_angle_beta 90.00
_cell_angle_gamma 90.00
loop_
_atom_site_label
_atom_site_fract_x
_atom_site_fract_y
_atom_site_fract_z
Ca1 0.0000 0.0000 0.0000
Dy1 0.0000 0.0000 0.5000
Tl1 0.2500 0.2500 0.2500
Bi1 0.2500 0.2500 0.7500
```

Results
N(E_F) (states/eV per cell): 13.63
Energy (eV/atom): -3.66
Calculated density (g/cm3): 8.7

---

Density functional theory data (PBE) for crystalline MgNpGaSn at its relaxed geometry.

The structure in CIF format:
```
data_MgNpGaSn
_symmetry_space_group_name_H-M 'F -4 3 m'
_symmetry_Int_Tables_number 216
_symmetry_space_group_name_Hall 'F -4 2 3'
_cell_length_a 7.1501
_cell_length_b 7.1501
_cell_length_c 7.1501
_cell_angle_alpha 90.00
_cell_angle_beta 90.00
_cell_angle_gamma 90.00
loop_
_atom_site_label
_atom_site_fract_x
_atom_site_fract_y
_atom_site_fract_z
Mg1 0.0000 0.0000 0.0000
Np1 0.0000 0.0000 0.5000
Ga1 0.2500 0.2500 0.2500
Sn1 0.2500 0.2500 0.7500
```

Results
N(E_F) (states/eV per cell): 33.39
Energy (eV/atom): -5.40
Calculated density (g/cm3): 8.2

---

Density functional theory data (PBE) for crystalline Be2ReIr at its relaxed geometry.

The structure in CIF format:
```
data_Be2ReIr
_symmetry_space_group_name_H-M 'R -3 m'
_symmetry_Int_Tables_number 166
_symmetry_space_group_name_Hall '-R 3 2"'
_cell_length_a 2.7235
_cell_length_b 2.7235
_cell_length_c 22.6292
_cell_angle_alpha 90.00
_cell_angle_beta 90.00
_cell_angle_gamma 120.00
loop_
_atom_site_label
_atom_site_fract_x
_atom_site_fract_y
_atom_site_fract_z
Be1 0.0000 0.0000 0.2463
Re1 0.0000 0.0000 0.0000
Ir1 0.0000 0.0000 0.5000
```

Results
N(E_F) (states/eV per cell): 8.34
Energy (eV/atom): -7.25
Calculated density (g/cm3): 13.6

---

Density functional theory data (PBE) for crystalline MgW2I2 at its relaxed geometry.

The structure in CIF format:
```
data_MgW2I2
_symmetry_space_group_name_H-M 'P 4/m b m'
_symmetry_Int_Tables_number 127
_symmetry_space_group_name_Hall '-P 4 2ab'
_cell_length_a 8.2699
_cell_length_b 8.2699
_cell_length_c 3.3761
_cell_angle_alpha 90.00
_cell_angle_beta 90.00
_cell_angle_gamma 90.00
loop_
_atom_site_label
_atom_site_fract_x
_atom_site_fract_y
_atom_site_fract_z
Mg1 0.0000 0.0000 0.0000
W1 0.1029 0.3971 0.0000
I1 0.1817 0.6817 0.5000
```

Results
N(E_F) (states/eV per cell): 11.34
Formation energy (no corrections) (meV per atom): 1368
Calculated density (g/cm3): 9.3

---

Density functional theory data (PBE) for crystalline Nb2GaF at its relaxed geometry.

The structure in CIF format:
```
data_Nb2GaF
_symmetry_space_group_name_H-M 'I -4 2 d'
_symmetry_Int_Tables_number 122
_symmetry_space_group_name_Hall 'I -4 2bw'
_cell_length_a 4.5177
_cell_length_b 4.5177
_cell_length_c 14.6523
_cell_angle_alpha 90.00
_cell_angle_beta 90.00
_cell_angle_gamma 90.00
loop_
_atom_site_label
_atom_site_fract_x
_atom_site_fract_y
_atom_site_fract_z
Nb1 0.1475 0.2500 0.1250
Ga1 0.0000 0.0000 0.5000
F1 0.0000 0.0000 0.0000
```

Results
N(E_F) (states/eV per cell): 9.14
Formation energy (no corrections) (meV per atom): 60
Calculated density (g/cm3): 6.1

---

Density functional theory data (PBE) for crystalline Hf3ScIr at its relaxed geometry.

The structure in CIF format:
```
data_Hf3ScIr
_symmetry_space_group_name_H-M 'P m -3 m'
_symmetry_Int_Tables_number 221
_symmetry_space_group_name_Hall '-P 4 2 3'
_cell_length_a 5.0385
_cell_length_b 5.0385
_cell_length_c 5.0385
_cell_angle_alpha 90.00
_cell_angle_beta 90.00
_cell_angle_gamma 90.00
loop_
_atom_site_label
_atom_site_fract_x
_atom_site_fract_y
_atom_site_fract_z
Hf1 0.0000 0.0000 0.5000
Sc1 0.5000 0.5000 0.5000
Ir1 0.0000 0.0000 0.0000
```

Results
N(E_F) (states/eV per cell): 8.86
Energy (eV/atom): -8.86
Calculated density (g/cm3): 10.0

---

Density functional theory data (PBE) for crystalline Ta2AsBr at its relaxed geometry.

The structure in CIF format:
```
data_Ta2AsBr
_symmetry_space_group_name_H-M 'I -4 2 d'
_symmetry_Int_Tables_number 122
_symmetry_space_group_name_Hall 'I -4 2bw'
_cell_length_a 7.2121
_cell_length_b 7.2121
_cell_length_c 6.2732
_cell_angle_alpha 90.00
_cell_angle_beta 90.00
_cell_angle_gamma 90.00
loop_
_atom_site_label
_atom_site_fract_x
_atom_site_fract_y
_atom_site_fract_z
Ta1 0.2224 0.7500 0.1250
As1 0.0000 0.0000 0.0000
Br1 0.0000 0.0000 0.5000
```

Results
N(E_F) (states/eV per cell): 14.21
Formation energy (no corrections) (meV per atom): 756
Calculated density (g/cm3): 10.5

---

Density functional theory data (PBE) for crystalline CsPuAg2Te4 at its relaxed geometry.

The structure in CIF format:
```
data_CsPuAg2Te4
_symmetry_space_group_name_H-M 'I 2 2 2'
_symmetry_Int_Tables_number 23
_cell_length_a 6.2763
_cell_length_b 8.9324
_cell_length_c 9.8512
_cell_angle_alpha 90.00
_cell_angle_beta 90.00
_cell_angle_gamma 90.00
loop_
_symmetry_equiv_pos_as_xyz
'x,y,z'
'-x,-y,z'
'x,-y,-z'
'-x,y,-z'
'x+1/2,y+1/2,z+1/2'
'-x+1/2,-y+1/2,z+1/2'
'x+1/2,-y+1/2,-z+1/2'
'-x+1/2,y+1/2,-z+1/2'
loop_
_atom_site_label
_atom_site_fract_x
_atom_site_fract_y
_atom_site_fract_z
Cs1 0.0000 0.0000 0.0000
Pu1 0.0000 0.0000 0.5000
Ag1 0.0000 0.5000 0.1477
Te1 0.1872 0.2280 0.2937
```

Results
N(E_F) (states/eV per cell): 31.75
Formation energy (no corrections) (meV per atom): -358
Calculated density (g/cm3): 6.6

---

Density functional theory data (PBE) for crystalline NaSm8Tc2 at its relaxed geometry.

The structure in CIF format:
```
data_NaSm8Tc2
_symmetry_space_group_name_H-M 'C 1 2/m 1'
_symmetry_Int_Tables_number 12
_cell_length_a 15.6110
_cell_length_b 6.8413
_cell_length_c 6.4077
_cell_angle_alpha 90.00
_cell_angle_beta 95.02
_cell_angle_gamma 90.00
loop_
_symmetry_equiv_pos_as_xyz
'x,y,z'
'-x,-y,-z'
'-x,y,-z'
'x,-y,z'
'x+1/2,y+1/2,z'
'-x+1/2,-y+1/2,-z'
'-x+1/2,y+1/2,-z'
'x+1/2,-y+1/2,z'
loop_
_atom_site_label
_atom_site_fract_x
_atom_site_fract_y
_atom_site_fract_z
Na1 0.0000 0.0000 0.0000
Sm1 0.0768 0.5000 0.8395
Sm2 0.1280 0.2487 0.3891
Sm3 0.2098 0.0000 0.8771
Tc1 0.2289 0.5000 0.6798
```

Results
N(E_F) (states/eV per cell): 19.33
Energy (eV/atom): -5.35
Calculated density (g/cm3): 6.9